Entry from Alexandria via LeMat-Bulk: crystalline InBiPb2 at its relaxed geometry (PBE).

Cell and atoms, written as POSCAR:
```
InBiPb2
1.0
-0.620 -1.188 4.353
4.030 -3.293 -0.325
3.232 3.808 1.499
Pb In Bi
2 1 1
direct
0.000 0.500 0.000
0.000 0.000 0.500
0.500 0.000 0.000
0.500 0.500 0.500
```

- D(E_F) (states/eV/cell) = 1.61
- relative energy among the computed polymorphs (eV/atom) = 0.0000
- SG = No. 123
- energy of formation from the pure elements (meV/atom) = 10